Run one
# SCAN CrMoOs2, single point on PBEsol structure
data_CrMoOs2
_cell_length_a 2.8951
_cell_length_b 4.3667
_cell_length_c 4.3933
_cell_angle_alpha 90.00
_cell_angle_beta 90.00
_cell_angle_gamma 90.00
_space_group_name_H-M_alt 'P m m m'
_space_group_IT_number 47
_space_group_name_Hall '-P 2 2'
loop_
_atom_site_label
_atom_site_type_symbol
_atom_site_fract_x
_atom_site_fract_y
_atom_site_fract_z
Cr1 Cr 0.0000 0.0000 0.0000
Mo1 Mo 0.5000 0.0000 0.5000
Os1 Os 0.0000 0.5000 0.5000
Os2 Os 0.5000 0.5000 0.0000
# ρ ... 15.80 g/cm³


Run two
# SCAN CrMoOs2, single point on PBEsol structure
data_CrMoOs2
_cell_length_a 3.8165
_cell_length_b 3.8165
_cell_length_c 7.5507
_cell_angle_alpha 90.00
_cell_angle_beta 90.00
_cell_angle_gamma 90.00
_space_group_name_H-M_alt 'I 4/m m m'
_space_group_IT_number 139
_space_group_name_Hall '-I 4 2'
loop_
_atom_site_label
_atom_site_type_symbol
_atom_site_fract_x
_atom_site_fract_y
_atom_site_fract_z
Cr1 Cr 0.0000 0.0000 0.0000
Mo1 Mo 0.0000 0.0000 0.5000
Os1 Os 0.0000 0.5000 0.2500
# ρ ... 15.96 g/cm³


Most stable = run two


Run one
# SCAN CrMoOs2, single point on PBEsol structure
data_CrMoOs2
_cell_length_a 2.9296
_cell_length_b 4.4115
_cell_length_c 8.5958
_cell_angle_alpha 90.00
_cell_angle_beta 90.00
_cell_angle_gamma 90.00
_space_group_name_H-M_alt 'C m m 2'
_space_group_IT_number 35
_space_group_name_Hall 'C 2 -2'
loop_
_atom_site_label
_atom_site_type_symbol
_atom_site_fract_x
_atom_site_fract_y
_atom_site_fract_z
Cr1 Cr 0.0000 0.0000 0.0000
Mo1 Mo 0.0000 0.5000 0.7609
Os1 Os 0.0000 0.0000 0.5030
Os2 Os 0.0000 0.5000 0.2346
# ρ ... 15.80 g/cm³


Run two
# SCAN CrMoOs2, single point on PBEsol structure
data_CrMoOs2
_cell_length_a 2.7022
_cell_length_b 2.7022
_cell_length_c 26.3090
_cell_angle_alpha 90.00
_cell_angle_beta 90.00
_cell_angle_gamma 120.00
_space_group_name_H-M_alt 'R 3 m'
_space_group_IT_number 160
_space_group_name_Hall 'R 3 -2"'
loop_
_atom_site_label
_atom_site_type_symbol
_atom_site_fract_x
_atom_site_fract_y
_atom_site_fract_z
Cr1 Cr 0.0000 0.0000 0.0000
Mo1 Mo 0.0000 0.0000 0.2476
Os1 Os 0.0000 0.0000 0.4972
Os2 Os 0.0000 0.0000 0.7428
# ρ ... 15.82 g/cm³


Most stable = run two


Run one
# SCAN CrMoOs2, single point on PBEsol structure
data_CrMoOs2
_cell_length_a 8.9320
_cell_length_b 2.6981
_cell_length_c 4.6484
_cell_angle_alpha 90.00
_cell_angle_beta 99.65
_cell_angle_gamma 90.00
_space_group_name_H-M_alt 'C 1 m 1'
_space_group_IT_number 8
_space_group_name_Hall 'C -2y'
loop_
_atom_site_label
_atom_site_type_symbol
_atom_site_fract_x
_atom_site_fract_y
_atom_site_fract_z
Cr1 Cr 0.0000 0.0000 0.0000
Mo1 Mo 0.2574 0.5000 0.2608
Os1 Os 0.0109 0.5000 0.5228
Os2 Os 0.2559 0.0000 0.7644
# ρ ... 15.89 g/cm³


Run two
# SCAN CrMoOs2, single point on PBEsol structure
data_CrMoOs2
_cell_length_a 5.3957
_cell_length_b 7.5511
_cell_length_c 2.7044
_cell_angle_alpha 90.00
_cell_angle_beta 90.00
_cell_angle_gamma 90.00
_space_group_name_H-M_alt 'C m m m'
_space_group_IT_number 65
_space_group_name_Hall '-C 2 2'
loop_
_atom_site_label
_atom_site_type_symbol
_atom_site_fract_x
_atom_site_fract_y
_atom_site_fract_z
Cr1 Cr 0.0000 0.0000 0.0000
Mo1 Mo 0.0000 0.5000 0.0000
Os1 Os 0.2500 0.2500 0.5000
# ρ ... 15.93 g/cm³


Most stable = run two


Run one
# SCAN CrReMo2, single point on PBEsol structure
data_CrReMo2
_cell_length_a 2.6579
_cell_length_b 4.2969
_cell_length_c 5.0553
_cell_angle_alpha 90.00
_cell_angle_beta 100.43
_cell_angle_gamma 90.00
_space_group_name_H-M_alt 'P 1 2/m 1'
_space_group_IT_number 10
_space_group_name_Hall '-P 2y'
loop_
_atom_site_label
_atom_site_type_symbol
_atom_site_fract_x
_atom_site_fract_y
_atom_site_fract_z
Cr1 Cr 0.0000 0.0000 0.0000
Re1 Re 0.5000 0.0000 0.5000
Mo1 Mo 0.2464 0.5000 0.7555
# ρ ... 12.58 g/cm³


Run two
# SCAN CrReMo2, single point on PBEsol structure
data_CrReMo2
_cell_length_a 5.2589
_cell_length_b 8.6196
_cell_length_c 2.6600
_cell_angle_alpha 90.00
_cell_angle_beta 109.40
_cell_angle_gamma 90.00
_space_group_name_H-M_alt 'C 1 2/m 1'
_space_group_IT_number 12
_space_group_name_Hall '-C 2y'
loop_
_atom_site_label
_atom_site_type_symbol
_atom_site_fract_x
_atom_site_fract_y
_atom_site_fract_z
Cr1 Cr 0.0000 0.0000 0.0000
Re1 Re 0.0000 0.5000 0.0000
Mo1 Mo 0.2500 0.2500 0.5000
# ρ ... 12.56 g/cm³


Most stable = run one


Run one
# SCAN CrReMo2, single point on PBEsol structure
data_CrReMo2
_cell_length_a 3.0538
_cell_length_b 4.2951
_cell_length_c 4.3204
_cell_angle_alpha 90.00
_cell_angle_beta 90.00
_cell_angle_gamma 90.00
_space_group_name_H-M_alt 'P m m m'
_space_group_IT_number 47
_space_group_name_Hall '-P 2 2'
loop_
_atom_site_label
_atom_site_type_symbol
_atom_site_fract_x
_atom_site_fract_y
_atom_site_fract_z
Cr1 Cr 0.0000 0.0000 0.0000
Re1 Re 0.5000 0.5000 0.0000
Mo1 Mo 0.0000 0.5000 0.5000
Mo2 Mo 0.5000 0.0000 0.5000
# ρ ... 12.60 g/cm³


Run two
# SCAN CrReMo2, single point on PBEsol structure
data_CrReMo2
_cell_length_a 3.0456
_cell_length_b 4.3121
_cell_length_c 8.6045
_cell_angle_alpha 90.00
_cell_angle_beta 90.00
_cell_angle_gamma 90.00
_space_group_name_H-M_alt 'I m m m'
_space_group_IT_number 71
_space_group_name_Hall '-I 2 2'
loop_
_atom_site_label
_atom_site_type_symbol
_atom_site_fract_x
_atom_site_fract_y
_atom_site_fract_z
Cr1 Cr 0.0000 0.0000 0.0000
Re1 Re 0.0000 0.0000 0.5000
Mo1 Mo 0.0000 0.5000 0.2551
# ρ ... 12.64 g/cm³


Most stable = run two


Run one
# SCAN CrReMo2, single point on PBEsol structure
data_CrReMo2
_cell_length_a 3.0622
_cell_length_b 4.3427
_cell_length_c 8.5366
_cell_angle_alpha 90.00
_cell_angle_beta 90.00
_cell_angle_gamma 90.00
_space_group_name_H-M_alt 'C m m 2'
_space_group_IT_number 35
_space_group_name_Hall 'C 2 -2'
loop_
_atom_site_label
_atom_site_type_symbol
_atom_site_fract_x
_atom_site_fract_y
_atom_site_fract_z
Cr1 Cr 0.0000 0.0000 0.0000
Re1 Re 0.0000 0.5000 0.2351
Mo1 Mo 0.0000 0.0000 0.4971
Mo2 Mo 0.0000 0.5000 0.7604
# ρ ... 12.58 g/cm³


Run two
# SCAN CrReMo2, single point on PBEsol structure
data_CrReMo2
_cell_length_a 3.0384
_cell_length_b 3.0384
_cell_length_c 6.1258
_cell_angle_alpha 90.00
_cell_angle_beta 90.00
_cell_angle_gamma 90.00
_space_group_name_H-M_alt 'P 4/m m m'
_space_group_IT_number 123
_space_group_name_Hall '-P 4 2'
loop_
_atom_site_label
_atom_site_type_symbol
_atom_site_fract_x
_atom_site_fract_y
_atom_site_fract_z
Cr1 Cr 0.0000 0.0000 0.0000
Re1 Re 0.0000 0.0000 0.5000
Mo1 Mo 0.5000 0.5000 0.2365
# ρ ... 12.63 g/cm³


Most stable = run two